# CrP2Ru

A geometry-optimized CrP2Ru structure (PBE, the Alexandria database).

POSCAR file:
```
CrP2Ru
1.0
3.9391 -0.0008 0.0022
2.9045 2.6610 0.0022
1.0850 0.4218 4.8001
P Cr Ru
2 1 1
Direct
0.5026 0.5026 0.4720 P
0.9974 0.9974 0.0280 P
0.2500 0.2500 0.2500 Cr
0.7500 0.7500 0.7500 Ru
```

Calculated density = 7.1 g/cm3
Relative energy among the computed polymorphs = 0.230 eV/atom
ΔE_f = -0.20 eV/atom



# CrP2RuS

A geometry-optimized CrP2RuS structure (PBE, the Alexandria database).

POSCAR file:
```
CrP2RuS
1.0
-3.3622 -2.5481 1.2265
1.8730 -0.5788 3.9317
-2.4402 4.0676 1.7613
P Cr Ru S
2 1 1 1
Direct
0.0000 0.5000 0.0000 P
0.5000 0.0000 0.0000 P
0.5000 0.5000 0.5000 Cr
0.0000 0.0000 0.0000 Ru
0.0000 0.0000 0.5000 S
```

Calculated density = 4.2 g/cm3
Relative energy among the computed polymorphs = 0.285 eV/atom



# CrPRuS2

A geometry-optimized CrPRuS2 structure (PBE, the Alexandria database).

POSCAR file:
```
CrPRuS2
1.0
4.3828 0.0000 0.0000
0.0000 4.3828 0.0000
0.0000 0.0000 4.4549
Ru P Cr S
1 1 1 2
Direct
0.5000 0.5000 0.5000 Ru
0.0000 0.0000 0.5000 P
0.0000 0.0000 0.0000 Cr
0.0000 0.5000 0.0000 S
0.5000 0.0000 0.0000 S
```

Calculated density = 4.8 g/cm3
Relative energy among the computed polymorphs = 0.000 eV/atom



# CrPRuS2

A geometry-optimized CrPRuS2 structure (PBE, the Alexandria database).

POSCAR file:
```
CrPRuS2
1.0
4.7279 0.0000 0.0000
0.0000 4.7279 0.0000
0.0000 0.0000 4.3321
P Cr S Ru
1 1 2 1
Direct
0.0000 0.0000 0.5000 P
0.5000 0.5000 0.5000 Cr
0.0000 0.5000 0.0000 S
0.5000 0.0000 0.0000 S
0.0000 0.0000 0.0000 Ru
```

Calculated density = 4.3 g/cm3
Relative energy among the computed polymorphs = 0.284 eV/atom



# CrP2RuS

A geometry-optimized CrP2RuS structure (PBE, the Alexandria database).

POSCAR file:
```
CrP2RuS
1.0
-0.2626 0.5664 4.3283
-4.3524 0.2985 -0.3031
-0.3297 -4.2613 0.5376
S P Cr Ru
1 2 1 1
Direct
0.0000 0.0000 0.5000 S
0.0000 0.5000 0.0000 P
0.5000 0.0000 0.0000 P
0.0000 0.0000 0.0000 Cr
0.5000 0.5000 0.5000 Ru
```

Calculated density = 5.0 g/cm3
Relative energy among the computed polymorphs = 0.000 eV/atom



# SmCrP2Ru

A geometry-optimized SmCrP2Ru structure (PBE, the Alexandria database).

POSCAR file:
```
SmCrP2Ru
1.0
-3.4694 -1.4919 -1.4342
-1.1125 -1.0162 3.7482
0.1623 5.6626 -0.5936
Ru Cr P Sm
1 1 2 1
Direct
0.2500 0.7500 0.5000 Ru
0.7500 0.2500 0.5000 Cr
0.3700 0.3700 0.7400 P
0.6300 0.6300 0.2600 P
0.0000 0.0000 0.0000 Sm
```

Calculated density = 7.5 g/cm3
ΔE_f = -0.88 eV/atom



# SrCrP2Ru

A geometry-optimized SrCrP2Ru structure (PBE, the Alexandria database).

POSCAR file:
```
SrCrP2Ru
1.0
4.0058 0.0000 0.0000
0.0000 4.0058 0.0000
-2.0029 -2.0029 5.7681
Sr P Ru Cr
1 2 1 1
Direct
0.0000 0.0000 0.0000 Sr
0.6449 0.6449 0.2897 P
0.3551 0.3551 0.7103 P
0.2500 0.7500 0.5000 Ru
0.7500 0.2500 0.5000 Cr
```

Calculated density = 5.4 g/cm3
ΔE_f = -0.78 eV/atom



# CrTcPRu

A geometry-optimized CrTcPRu structure (PBE, the Alexandria database).

POSCAR file:
```
CrTcPRu
1.0
-3.2434 -1.3219 2.2801
-0.5477 -4.0867 0.6816
0.6352 -1.5859 3.8141
Cr Tc P Ru
1 1 1 1
Direct
0.5000 0.5000 0.5000 Cr
0.2500 0.2500 0.2500 Tc
0.0000 0.0000 0.0000 P
0.7500 0.7500 0.7500 Ru
```

Calculated density = 9.1 g/cm3
ΔE_f = -0.22 eV/atom